! PBE+U CrSeN2F, relaxed; values from VASP
&SYSTEM
  ibrav = 0, nat = 5, ntyp = 4
/
ATOMIC_SPECIES
F 19.00 F.upf
Se 78.96 Se.upf
N 14.01 N.upf
Cr 52.00 Cr.upf
CELL_PARAMETERS angstrom
3.9739 0.0000 0.0000
0.0000 3.9739 0.0000
0.0000 0.0000 3.7898
ATOMIC_POSITIONS crystal
F 0.0000 0.0000 0.5000
Se 0.5000 0.5000 0.5000
N 0.5000 0.0000 0.0000
N 0.0000 0.5000 0.0000
Cr 0.0000 0.0000 0.0000
! - VASP energy (eV/atom) = -5.460
! - energy relative to the lowest polymorph listed for this composition (kJ per mole of atoms) = 0.0